This record from the Open Quantum Materials Database describes crystalline Gd3Fe at its relaxed geometry. The functional is PBE.

a b c (Å): 5.1626 5.1626 5.1626
angles (deg): 60.00 60.00 60.00
Positions (direct):
Gd: 0.0000 0.0000 0.0000
Gd: 0.2500 0.2500 0.2500
Gd: 0.7500 0.7500 0.7500
Fe: 0.5000 0.5000 0.5000

Computed properties:
Volume in Å³/f.u.: 97
ΔE_f in eV/atom: 0.457
E_tot in eV/cell: -20.45
Crystal system: cubic

***

This record from the Open Quantum Materials Database describes crystalline Gd3Fe at its relaxed geometry. The functional is PBE.

a b c (Å): 4.7219 4.7219 4.7219
angles (deg): 90.00 90.00 90.00
Positions (direct):
Gd: 0.0000 0.0000 0.5000
Gd: 0.0000 0.5000 0.0000
Gd: 0.5000 0.0000 0.0000
Fe: 0.5000 0.5000 0.5000

Computed properties:
Volume in Å³/f.u.: 105
ΔE_f in eV/atom: 0.329
E_tot in eV/cell: -20.96
Crystal system: cubic

***

| no. | total moment (μB/cell) |
| --- | --- |
| 1 | 0.03 |
| 2 | 2.29 |